# BeHgPd2, relaxed, DFT PBE
# DOS(E_F), states/eV/cell: 2.6
# Magnetic moment, μB/f.u.: 0.0
# Energy relative to the elements, eV/f.u.: -1.06
data_BeHgPd2
_symmetry_space_group_name_H-M 'R 3 m'
_symmetry_Int_Tables_number 160
_symmetry_space_group_name_Hall 'R 3 -2"'
_cell_length_a 3.0878
_cell_length_b 3.0878
_cell_length_c 22.4315
_cell_angle_alpha 90.00
_cell_angle_beta 90.00
_cell_angle_gamma 120.00
loop_
_atom_site_label
_atom_site_type_symbol
_atom_site_fract_x
_atom_site_fract_y
_atom_site_fract_z
_atom_site_occupancy
Be1 Be 0.0000 0.0000 0.0000 1
Hg1 Hg 0.0000 0.0000 0.8330 1
Pd1 Pd 0.0000 0.0000 0.3959 1
Pd2 Pd 0.0000 0.0000 0.6040 1